No. 1
## Tm3Pd2Pt (PBE)

Data for a geometry-optimized Tm3Pd2Pt structure.

## Properties
DFT formation energy ... -1067 meV/atom
N(E_F) ... 0.559 states/eV/atom
Crystal system ... orthorhombic

a b c (Å): 7.7472 7.7472 6.8830
angles (deg): 90.00 90.00 143.09
Element x y z (fractional)
Tm 0.0000 0.0000 0.2491
Tm 0.0000 0.0000 0.7509
Tm 0.3321 0.6679 0.2462
Tm 0.3321 0.6679 0.7538
Tm 0.6679 0.3321 0.2462
Tm 0.6679 0.3321 0.7538
Pd 0.1687 0.8313 0.5000
Pd 0.5000 0.5000 0.0000
Pd 0.5000 0.5000 0.5000
Pd 0.8313 0.1687 0.5000
Pt 0.1614 0.8386 0.0000
Pt 0.8386 0.1614 0.0000

***

No. 2
## LiH3Pd (PBE)

Data for a geometry-optimized LiH3Pd structure.

## Properties
N(E_F) ... 0.127 states/eV/atom
Crystal system ... orthorhombic
DFT total energy ... -3.6364 eV/atom

a b c (Å): 5.0098 5.0098 5.4124
angles (deg): 90.00 90.00 138.45
Element x y z (fractional)
Li 0.1885 0.8115 0.7500
Li 0.8115 0.1885 0.2500
H 0.0343 0.9657 0.2500
H 0.3716 0.6284 0.0196
H 0.3716 0.6284 0.4804
H 0.6284 0.3716 0.5196
H 0.6284 0.3716 0.9804
H 0.9657 0.0343 0.7500
Pd 0.4758 0.5242 0.7500
Pd 0.5242 0.4758 0.2500

***

No. 3
## AcU2PdS5 (PBE)

Data for a geometry-optimized AcU2PdS5 structure.

## Properties
Energy relative to the elements, uncorrected ... -1403 meV per atom
N(E_F) ... 0.412 states/eV/atom
Crystal system ... tetragonal

a b c (Å): 8.4672 8.4672 8.4672
angles (deg): 128.25 128.25 76.22
Element x y z (fractional)
Ac 0.2500 0.2500 0.0000
Ac 0.7500 0.7500 0.0000
U 0.1182 0.6182 0.7365
U 0.3818 0.1182 0.5000
U 0.6182 0.8818 0.5000
U 0.8818 0.3818 0.2635
Pd 0.2500 0.7500 0.5000
Pd 0.7500 0.2500 0.5000
S 0.0000 0.0000 0.0000
S 0.0421 0.1909 0.5000
S 0.1909 0.6909 0.1488
S 0.3091 0.4579 0.5000
S 0.4579 0.9579 0.1488
S 0.5000 0.5000 0.0000
S 0.5421 0.0421 0.8512
S 0.6909 0.5421 0.5000
S 0.8091 0.3091 0.8512
S 0.9579 0.8091 0.5000

***

No. 4
## AcTb7Dy4 (PBE)

Data for a geometry-optimized AcTb7Dy4 structure.

## Properties
DFT formation energy ... 13 meV/atom
N(E_F) ... 1.461 states/eV/atom
Crystal system ... triclinic
E above lowest polymorph ... 0.0 meV/atom

a b c (Å): 6.2604 7.2441 8.9262
angles (deg): 89.97 76.26 89.95
Element x y z (fractional)
Ac 0.0000 0.0000 0.0000
Tb 0.0000 0.5000 0.0000
Tb 0.2237 0.0003 0.3381
Tb 0.2806 0.7459 0.6632
Tb 0.5000 0.2547 0.9999
Tb 0.5000 0.7453 0.0001
Tb 0.7194 0.2541 0.3368
Tb 0.7763 0.9997 0.6619
Dy 0.2197 0.5001 0.3348
Dy 0.2805 0.2539 0.6633
Dy 0.7195 0.7461 0.3367
Dy 0.7803 0.4999 0.6652

***

No. 5
## SmEu2Mg (PBE)

Data for a geometry-optimized SmEu2Mg structure.

## Properties
DFT formation energy ... 26 meV/atom
N(E_F) ... 2.046 states/eV/atom
Crystal system ... tetragonal
E above lowest polymorph ... 0.0 meV/atom

a b c (Å): 3.7270 3.7270 9.9999
angles (deg): 90.00 90.00 90.00
Element x y z (fractional)
Sm 0.0000 0.0000 0.0000
Eu 0.5000 0.5000 0.2704
Eu 0.5000 0.5000 0.7296
Mg 0.0000 0.0000 0.5000

***

No. 6
## PrSmYIn (PBE)

Data for a geometry-optimized PrSmYIn structure.

## Properties
DFT formation energy ... -139 meV/atom
N(E_F) ... 1.569 states/eV/atom
Crystal system ... cubic
E above lowest polymorph ... 0.0 meV/atom

a b c (Å): 5.5733 5.5733 5.5733
angles (deg): 60.00 60.00 60.00
Element x y z (fractional)
Pr 0.0000 0.0000 0.0000
Sm 0.5000 0.5000 0.5000
Y 0.7500 0.7500 0.7500
In 0.2500 0.2500 0.2500

***

No. 7
## HoTm2Ag2 (PBE)

Data for a geometry-optimized HoTm2Ag2 structure.

## Properties
DFT formation energy ... -251 meV/atom
N(E_F) ... 0.801 states/eV/atom
Crystal system ... monoclinic
E above lowest polymorph ... 0.0 meV/atom

a b c (Å): 3.5848 5.1966 13.4023
angles (deg): 90.00 97.68 90.00
Element x y z (fractional)
Ho 0.1461 0.2500 0.2915
Ho 0.8539 0.7500 0.7085
Tm 0.0474 0.7500 0.0950
Tm 0.2346 0.7500 0.4686
Tm 0.7654 0.2500 0.5314
Tm 0.9526 0.2500 0.9050
Ag 0.3578 0.2500 0.7159
Ag 0.4531 0.7500 0.9064
Ag 0.5469 0.2500 0.0936
Ag 0.6422 0.7500 0.2841

***

No. 8
## CaCdInCl5 (PBE)

Data for a geometry-optimized CaCdInCl5 structure.

## Properties
Energy relative to the elements, uncorrected ... -1500 meV per atom
N(E_F) ... 0.000 states/eV/atom
Crystal system ... monoclinic

a b c (Å): 7.6472 7.6472 10.0139
angles (deg): 103.64 103.64 106.46
Element x y z (fractional)
Ca 0.0000 0.0000 0.0000
Ca 0.0000 0.0000 0.5000
Cd 0.3197 0.6803 0.7500
Cd 0.6803 0.3197 0.2500
In 0.3284 0.6716 0.2500
In 0.6716 0.3284 0.7500
Cl 0.0834 0.9166 0.2500
Cl 0.0849 0.6745 0.8882
Cl 0.2496 0.3717 0.5562
Cl 0.3255 0.9151 0.6118
Cl 0.3717 0.2496 0.0562
Cl 0.6283 0.7504 0.9438
Cl 0.6745 0.0849 0.3882
Cl 0.7504 0.6283 0.4438
Cl 0.9151 0.3255 0.1118
Cl 0.9166 0.0834 0.7500

***

No. 9
## CeYTlIr (PBE)

Data for a geometry-optimized CeYTlIr structure.

## Properties
DFT formation energy ... -508 meV/atom
N(E_F) ... 1.393 states/eV/atom
Crystal system ... monoclinic
E above lowest polymorph ... 0.0 meV/atom

a b c (Å): 4.0040 4.0040 8.4267
angles (deg): 103.71 103.71 60.06
Element x y z (fractional)
Ce 0.0000 0.0000 0.0000
Y 0.7952 0.7952 0.3854
Tl 0.5629 0.5629 0.6891
Ir 0.3949 0.3949 0.1846

***

No. 10
## Sc3TiRe (PBE)

Data for a geometry-optimized Sc3TiRe structure.

## Properties
DFT formation energy ... 545 meV/atom
N(E_F) ... 1.262 states/eV/atom
Crystal system ... cubic
E above lowest polymorph ... 0.0 meV/atom

a b c (Å): 5.0244 5.0244 5.0244
angles (deg): 90.00 90.00 90.00
Element x y z (fractional)
Sc 0.0000 0.0000 0.5000
Sc 0.0000 0.5000 0.0000
Sc 0.5000 0.0000 0.0000
Ti 0.5000 0.5000 0.5000
Re 0.0000 0.0000 0.0000

***

No. 11
## ScCoAs2 (PBE)

Data for a geometry-optimized ScCoAs2 structure.

## Properties
DFT formation energy ... -508 meV/atom
N(E_F) ... 0.347 states/eV/atom
Crystal system ... monoclinic

a b c (Å): 3.9454 3.8129 4.6654
angles (deg): 90.00 98.48 90.00
Element x y z (fractional)
Sc 0.0000 0.0000 0.0000
Co 0.5000 0.0000 0.5000
As 0.3384 0.5000 0.7337
As 0.6616 0.5000 0.2663

***

No. 12
## Pt3Br (PBE)

Data for a geometry-optimized Pt3Br structure.

## Properties
Energy relative to the elements, uncorrected ... 376 meV per atom
N(E_F) ... 1.096 states/eV/atom
Crystal system ... orthorhombic
E above lowest polymorph ... 0.0 meV/atom

a b c (Å): 4.6970 4.6970 3.7810
angles (deg): 90.00 90.00 112.40
Element x y z (fractional)
Pt 0.0000 0.0000 0.0000
Pt 0.2252 0.7748 0.5000
Pt 0.7748 0.2252 0.5000
Br 0.5000 0.5000 0.0000

***

No. 13
## SmDy2ErTh (PBE)

Data for a geometry-optimized SmDy2ErTh structure.

## Properties
DFT formation energy ... 336 meV/atom
N(E_F) ... 1.306 states/eV/atom
Crystal system ... monoclinic

a b c (Å): 8.5434 6.3741 6.3048
angles (deg): 90.00 98.14 90.00
Element x y z (fractional)
Sm 0.0000 0.0000 0.0000
Sm 0.0000 0.0000 0.5000
Dy 0.3147 0.3104 0.2072
Dy 0.3147 0.6896 0.7072
Dy 0.6853 0.3104 0.2928
Dy 0.6853 0.6896 0.7928
Er 0.5000 0.1758 0.7500
Er 0.5000 0.8242 0.2500
Th 0.0000 0.4499 0.7500
Th 0.0000 0.5501 0.2500

***

No. 14
## NpSnIrPd (PBE)

Data for a geometry-optimized NpSnIrPd structure.

## Properties
DFT formation energy ... -288 meV/atom
N(E_F) ... 2.082 states/eV/atom
Crystal system ... cubic

a b c (Å): 4.7886 4.7886 4.7886
angles (deg): 60.00 60.00 60.00
Element x y z (fractional)
Np 0.0000 0.0000 0.0000
Sn 0.5000 0.5000 0.5000
Ir 0.7500 0.7500 0.7500
Pd 0.2500 0.2500 0.2500

***

No. 15
## Pm2PrRh2 (PBE)

Data for a geometry-optimized Pm2PrRh2 structure.

## Properties
DFT formation energy ... -513 meV/atom
N(E_F) ... 0.657 states/eV/atom
Crystal system ... orthorhombic
E above lowest polymorph ... 0.0 meV/atom

a b c (Å): 13.6901 13.6901 4.7797
angles (deg): 90.00 90.00 163.60
Element x y z (fractional)
Pm 0.0510 0.9490 0.7500
Pm 0.2671 0.7329 0.2500
Pm 0.7329 0.2671 0.7500
Pm 0.9490 0.0510 0.2500
Pr 0.3652 0.6348 0.7500
Pr 0.6348 0.3652 0.2500
Rh 0.1598 0.8402 0.7500
Rh 0.4675 0.5325 0.7500
Rh 0.5325 0.4675 0.2500
Rh 0.8402 0.1598 0.2500

***

No. 16
## K2TiSiPd (PBE)

Data for a geometry-optimized K2TiSiPd structure.

## Properties
Energy relative to the elements, uncorrected ... 1110 meV per atom
N(E_F) ... 1.047 states/eV/atom
Crystal system ... tetragonal
E above lowest polymorph ... 52.3 meV/atom

a b c (Å): 6.4769 6.4769 4.5917
angles (deg): 90.00 90.00 90.00
Element x y z (fractional)
K 0.0000 0.5000 0.0000
K 0.5000 0.0000 0.0000
Ti 0.0000 0.0000 0.0000
Si 0.5000 0.5000 0.5000
Pd 0.0000 0.0000 0.5000

***

No. 17
## BeTcPHCl (PBE)

Data for a geometry-optimized BeTcPHCl structure.

## Properties
N(E_F) ... 0.063 states/eV/atom
Crystal system ... triclinic
E above lowest polymorph ... 172.1 meV/atom

a b c (Å): 3.1972 3.2297 6.4131
angles (deg): 90.09 90.46 90.00
Element x y z (fractional)
Be 0.0000 0.0000 0.0000
Tc 0.4813 0.9983 0.3710
P 0.9816 0.4977 0.2392
H 0.4891 0.9929 0.1173
Cl 0.4905 0.9990 0.7736

***

No. 18
## Pm2Dy3In (PBE)

Data for a geometry-optimized Pm2Dy3In structure.

## Properties
DFT formation energy ... -136 meV/atom
N(E_F) ... 1.220 states/eV/atom
Crystal system ... orthorhombic
E above lowest polymorph ... 14.3 meV/atom

a b c (Å): 9.3960 9.3960 9.3960
angles (deg): 148.23 120.30 69.22
Element x y z (fractional)
Pm 0.2753 0.0253 0.2500
Pm 0.4260 0.6760 0.7500
Pm 0.5740 0.3240 0.2500
Pm 0.7247 0.9747 0.7500
Dy 0.0000 0.5000 0.5000
Dy 0.1290 0.1711 0.9578
Dy 0.2867 0.8289 0.4578
Dy 0.5000 0.5000 0.0000
Dy 0.7133 0.1711 0.5422
Dy 0.8710 0.8289 0.0422
In 0.1048 0.3548 0.7500
In 0.8952 0.6452 0.2500

***

No. 19
## Ti6RuRh5 (PBE)

Data for a geometry-optimized Ti6RuRh5 structure.

## Properties
DFT formation energy ... -735 meV/atom
N(E_F) ... 1.127 states/eV/atom
Crystal system ... orthorhombic

a b c (Å): 7.4921 7.4921 7.4921
angles (deg): 146.98 127.74 63.21
Element x y z (fractional)
Ti 0.0812 0.3345 0.7467
Ti 0.2434 0.0000 0.2434
Ti 0.4122 0.6655 0.7467
Ti 0.5878 0.3345 0.2533
Ti 0.7566 0.0000 0.7566
Ti 0.9188 0.6655 0.2533
Ru 0.0000 0.5000 0.5000
Rh 0.1711 0.1711 0.0000
Rh 0.3363 0.8363 0.5000
Rh 0.5000 0.5000 0.0000
Rh 0.6637 0.1637 0.5000
Rh 0.8289 0.8289 0.0000

***

No. 20
## KRbCdHg2 (PBE)

Data for a geometry-optimized KRbCdHg2 structure.

## Properties
DFT formation energy ... -6 meV/atom
N(E_F) ... 0.518 states/eV/atom
Crystal system ... tetragonal
E above lowest polymorph ... 96.9 meV/atom

a b c (Å): 5.8840 5.8840 6.4478
angles (deg): 90.00 90.00 90.00
Element x y z (fractional)
K 0.0000 0.0000 0.0000
Rb 0.5000 0.5000 0.0000
Cd 0.5000 0.5000 0.5000
Hg 0.0000 0.5000 0.5000
Hg 0.5000 0.0000 0.5000

***

No. 21
## Ho4Ga12Pd (PBE)

Data for a geometry-optimized Ho4Ga12Pd structure.

## Properties
DFT formation energy ... -604 meV/atom
N(E_F) ... 0.013 states/eV/atom
Crystal system ... cubic

a b c (Å): 7.4529 7.4529 7.4529
angles (deg): 109.47 109.47 109.47
Element x y z (fractional)
Ho 0.0000 0.0000 0.5000
Ho 0.0000 0.5000 0.0000
Ho 0.5000 0.0000 0.0000
Ho 0.5000 0.5000 0.5000
Ga 0.0000 0.2962 0.2962
Ga 0.0000 0.7038 0.7038
Ga 0.2500 0.5000 0.7500
Ga 0.2500 0.7500 0.5000
Ga 0.2962 0.0000 0.2962
Ga 0.2962 0.2962 0.0000
Ga 0.5000 0.2500 0.7500
Ga 0.5000 0.7500 0.2500
Ga 0.7038 0.0000 0.7038
Ga 0.7038 0.7038 0.0000
Ga 0.7500 0.2500 0.5000
Ga 0.7500 0.5000 0.2500
Pd 0.0000 0.0000 0.0000

***

No. 22
## TmV2Cl8 (PBE)

Data for a geometry-optimized TmV2Cl8 structure.

## Properties
Energy relative to the elements, uncorrected ... -1422 meV per atom
N(E_F) ... 0.480 states/eV/atom
Crystal system ... monoclinic

a b c (Å): 7.9655 7.9655 6.4435
angles (deg): 96.66 96.66 63.23
Element x y z (fractional)
Tm 0.0000 0.0000 0.0000
V 0.1762 0.1762 0.6404
V 0.8238 0.8238 0.3596
Cl 0.1188 0.7076 0.2229
Cl 0.1630 0.1630 0.2742
Cl 0.2924 0.8812 0.7771
Cl 0.3395 0.3395 0.7146
Cl 0.6605 0.6605 0.2854
Cl 0.7076 0.1188 0.2229
Cl 0.8370 0.8370 0.7258
Cl 0.8812 0.2924 0.7771

***

No. 23
## Sc2TiAlC (PBE)

Data for a geometry-optimized Sc2TiAlC structure.

## Properties
DFT formation energy ... -562 meV/atom
N(E_F) ... 0.480 states/eV/atom
Crystal system ... tetragonal

a b c (Å): 4.4708 4.4708 4.2512
angles (deg): 90.00 90.00 90.00
Element x y z (fractional)
Sc 0.0000 0.5000 0.0000
Sc 0.5000 0.0000 0.0000
Ti 0.0000 0.0000 0.5000
Al 0.5000 0.5000 0.5000
C 0.0000 0.0000 0.0000

***

No. 24
## La2HfGe4Pt3 (PBE)

Data for a geometry-optimized La2HfGe4Pt3 structure.

## Properties
DFT formation energy ... -955 meV/atom
N(E_F) ... 0.424 states/eV/atom
Crystal system ... tetragonal

a b c (Å): 4.3317 4.3317 10.9513
angles (deg): 90.00 90.00 90.00
Element x y z (fractional)
La 0.0000 0.5000 0.2355
La 0.5000 0.0000 0.7645
Hf 0.0000 0.0000 0.5000
Ge 0.0000 0.0000 0.0000
Ge 0.0000 0.5000 0.6479
Ge 0.5000 0.0000 0.3521
Ge 0.5000 0.5000 0.0000
Pt 0.0000 0.5000 0.8792
Pt 0.5000 0.0000 0.1208
Pt 0.5000 0.5000 0.5000